[1]
{"formula": "Ac4MnCu3O12", "functional": "GGA+U", "state": "optimized geometry", "cell": [[6.849, 0.000, 0.000], [-2.283, 6.457, 0.000], [-2.283, -3.228, 5.592]], "species": ["Ac", "Ac", "Ac", "Ac", "O", "O", "O", "O", "O", "O", "O", "O", "O", "O", "O", "O", "Cu", "Cu", "Cu", "Mn"], "frac_coords": [[0.000, 0.000, 0.500], [0.500, 0.000, 0.000], [0.000, 0.500, 0.000], [0.500, 0.500, 0.500], [0.750, 0.250, 0.500], [0.750, 0.500, 0.250], [0.245, 0.245, 0.000], [0.000, 0.755, 0.755], [0.500, 0.250, 0.750], [0.500, 0.750, 0.250], [0.000, 0.245, 0.245], [0.755, 0.000, 0.755], [0.250, 0.500, 0.750], [0.250, 0.750, 0.500], [0.755, 0.755, 0.000], [0.245, 0.000, 0.245], [0.000, 0.500, 0.500], [0.500, 0.000, 0.500], [0.500, 0.500, 0.000], [0.000, 0.000, 0.000]], "crystal_system": "cubic", "m_tot_mub_per_cell": 3.7}

=====

[2]
{"formula": "Ac2MnCuO6", "functional": "GGA+U", "state": "optimized geometry", "cell": [[5.681, 0.000, -0.317], [0.000, 5.622, 0.000], [-2.609, -2.811, 4.081]], "species": ["O", "O", "O", "O", "O", "O", "Mn", "Ac", "Ac", "Cu"], "frac_coords": [[0.217, 0.231, 0.950], [0.217, 0.719, 0.950], [0.783, 0.281, 0.050], [0.295, 0.746, 0.493], [0.705, 0.254, 0.507], [0.783, 0.769, 0.050], [0.000, 0.500, 0.000], [0.751, 0.750, 0.500], [0.249, 0.250, 0.500], [0.500, 0.000, 0.000]], "crystal_system": "monoclinic", "m_tot_mub_per_cell": 3.3}

=====

[3]
{"formula": "Ac4Mn3CuO12", "functional": "GGA+U", "state": "optimized geometry", "cell": [[-5.973, -2.645, -2.223], [5.226, -3.898, -2.262], [0.037, 0.118, 6.900]], "species": ["O", "O", "O", "O", "O", "O", "O", "O", "O", "O", "O", "O", "Cu", "Ac", "Ac", "Ac", "Ac", "Mn", "Mn", "Mn"], "frac_coords": [[0.257, 0.257, 0.000], [0.500, 0.250, 0.750], [0.250, 0.750, 0.500], [0.743, 0.743, 0.000], [0.250, 0.500, 0.750], [0.500, 0.750, 0.250], [0.000, 0.743, 0.743], [0.257, 0.000, 0.257], [0.000, 0.257, 0.257], [0.750, 0.250, 0.500], [0.750, 0.500, 0.250], [0.743, 0.000, 0.743], [0.000, 0.000, 0.000], [0.500, 0.000, 0.000], [0.500, 0.500, 0.500], [0.000, 0.500, 0.000], [0.000, 0.000, 0.500], [0.000, 0.500, 0.500], [0.500, 0.000, 0.500], [0.500, 0.500, 0.000]], "crystal_system": "cubic", "m_tot_mub_per_cell": 10.1}

=====

The volume results, record by record, are as follows: 247.28, 125.69, 252.97 Å³ per cell.
The calculated density results, record by record, are as follows: 9.04, 8.83, 8.72 g/cm3.
The total DFT energy (no corrections) results, record by record, are as follows: -6.921, -7.228, -7.542 eV/atom.